1.
Here is a relaxed AcPr8Pb2 crystal from Alexandria. Energies are from PBE.

Space group ... C2/m, No. 12
VASP energy ... -51.33 eV for the cell shown
ΔE_f ... -0.143 eV per atom

abc: 6.4369 9.6610 9.6610
angles: 41.98 80.31 80.31
Last column: nearest neighbours and their distance in Å.
Fractional coordinates of all 11 atoms:
Pr1 0.0252 0.5886 0.5886  1 Pb 3.20, 3 Pr 3.27-3.51
Pr2 0.1458 0.7845 0.7845  4 Pb 3.26-3.65
Pb1 0.3230 0.2602 0.2602  7 Pr 3.20-3.41
Ac1 0.0000 0.0000 0.0000  10 Pr 3.83-3.87
Pr3 0.5100 0.1461 0.6478  2 Pb 3.33-3.41, 4 Pr 3.45-3.70
Pr4 0.4900 0.8539 0.3522  2 Pb 3.33-3.41, 4 Pr 3.45-3.70
Pb2 0.6770 0.7398 0.7398  7 Pr 3.20-3.41
Pr5 0.8542 0.2155 0.2155  4 Pb 3.26-3.65
Pr6 0.4900 0.3522 0.8539  2 Pb 3.33-3.41, 4 Pr 3.45-3.70
Pr7 0.5100 0.6478 0.1461  2 Pb 3.33-3.41, 4 Pr 3.45-3.70
Pr8 0.9748 0.4114 0.4114  1 Pb 3.20, 3 Pr 3.27-3.51

2.
Here is a relaxed Ac7PrPb5 crystal from Alexandria. Energies are from PBE.

Space group ... Imm2, No. 44
VASP energy ... -56.17 eV for the cell shown
ΔE_f ... -0.314 eV per atom

abc: 6.9722 9.1341 9.1341
angles: 80.46 67.56 67.56
Last column: nearest neighbours and their distance in Å.
Fractional coordinates of all 13 atoms:
Pb1 0.0178 0.4587 0.9809  3 Pb 3.31-3.66, 5 Ac 3.36-3.68, 1 Pr 3.58
Pb2 0.5426 0.4587 0.9809  3 Pb 3.31-3.66, 5 Ac 3.36-3.68, 1 Pr 3.58
Pr1 0.9006 0.0994 0.0994  4 Pb 3.58, 4 Ac 3.82-3.94
Ac1 0.5382 0.7979 0.1257  5 Pb 3.55-3.72, 4 Ac 3.77-3.95
Ac2 0.0228 0.2978 0.6566  5 Pb 3.50-3.68, 1 Ac 3.66
Pb3 0.7881 0.7119 0.7119  4 Pb 3.50, 6 Ac 3.54-3.58
Ac3 0.5746 0.4254 0.4254  1 Pr 3.94, 9 Ac 3.99-4.24, 4 Pb 4.11
Ac4 0.2235 0.7765 0.7765  6 Pb 3.57-3.65, 1 Pr 3.90
Ac5 0.0228 0.6566 0.2978  5 Pb 3.50-3.68, 1 Ac 3.66
Ac6 0.2703 0.2297 0.2297  4 Pb 3.36, 2 Ac 3.66
Pb4 0.5426 0.9809 0.4587  3 Pb 3.31-3.66, 5 Ac 3.36-3.68, 1 Pr 3.58
Pb5 0.0178 0.9809 0.4587  3 Pb 3.31-3.66, 5 Ac 3.36-3.68, 1 Pr 3.58
Ac7 0.5382 0.1257 0.7979  5 Pb 3.55-3.72, 4 Ac 3.77-3.95

Among the records above, which one has the highest ΔE_f?
AcPr8Pb2